Record 1
Density functional theory data (GGA-PBE) for Ba11HgRh2 after structural relaxation.

The space group is Ibam (No. 72) and the conventional cell measures 14.231, 14.419 and 15.860 Å, with angles of 90.00, 90.00 and 90.00 degrees. Symmetry generates all atoms from Ba at (0.000, 0.000, 0.000), Ba at (0.071, 0.278, 0.138), Ba at (0.188, 0.197, 0.500), Ba at (0.217, 0.438, 0.366), Hg at (0.000, 0.500, 0.250) and Rh at (0.163, 0.159, 0.000).

For the volume, the calculation gives 58.1 Å³/atom. The value obtained for the uncorrected energy is -2.62 eV per atom.

---

Record 2
Density functional theory data (GGA-PBE) for Ba12HgRh5 after structural relaxation.

The space group is C2/m (No. 12) and the conventional cell measures 8.012, 13.906 and 14.815 Å, with angles of 90.00, 99.74 and 90.00 degrees. Symmetry generates all atoms from Ba at (0.098, 0.000, 0.381), Ba at (0.145, 0.317, 0.381), Ba at (0.199, 0.500, 0.110), Ba at (0.202, 0.166, 0.109), Hg at (0.000, 0.500, 0.500), Rh at (0.000, 0.000, 0.000), Rh at (0.000, 0.166, 0.500) and Rh at (0.000, 0.334, 0.000).

For the volume, the calculation gives 45.2 Å³/atom. The value obtained for the uncorrected energy is -3.53 eV per atom.

---

Record 3
Density functional theory data (GGA-PBE) for Ba5HgRh after structural relaxation.

The space group is P2_1/m (No. 11) and the conventional cell measures 10.391, 4.734 and 13.655 Å, with angles of 90.00, 91.78 and 90.00 degrees. Symmetry generates all atoms from Ba at (0.023, 0.250, 0.361), Ba at (0.140, 0.750, 0.932), Ba at (0.314, 0.250, 0.707), Ba at (0.353, 0.750, 0.436), Ba at (0.365, 0.250, 0.159), Hg at (0.081, 0.750, 0.183) and Rh at (0.486, 0.750, 0.655).

For the volume, the calculation gives 48.0 Å³/atom. The value obtained for the uncorrected energy is -2.69 eV per atom.

---

Record 4
Density functional theory data (GGA-PBE) for BaHg2Rh2 after structural relaxation.

The space group is P4/mbm (No. 127) and the conventional cell measures 8.000, 8.000 and 3.374 Å, with angles of 90.00, 90.00 and 90.00 degrees. Symmetry generates all atoms from Ba at (0.000, 0.000, 0.000), Hg at (0.158, 0.342, 0.500) and Rh at (0.132, 0.632, 0.000).

The calculation puts the energy above the most stable polymorph in this dataset at 73 meV/atom. For the volume, the calculation gives 21.6 Å³/atom. The value obtained for the uncorrected energy is -3.48 eV per atom.

---

no.,spin magnetization (Bohr magnetons per cell)
1,0.003
2,0.000
3,0.000
4,0.000